1.
An optimized crystal structure of Cs2KNaI, computed with PBE.

a b c (Å): 7.671 7.671 6.486
angles (deg): 90.00 90.00 90.00
Atoms (fractional coordinates):
Cs: 0.000 0.500 0.000
Cs: 0.500 0.000 0.000
K: 0.000 0.000 0.500
Na: 0.500 0.500 0.500
I: 0.500 0.500 0.000

## Properties
Crystal system   tetragonal
Theoretical density   1.979 g/cm³
Formation energy without anion corrections   -0.468 eV/atom

=====

2.
An optimized crystal structure of Cs4K3NaI8, computed with PBE.

a b c (Å): 10.538 10.538 10.538
angles (deg): 59.56 59.56 59.56
Atoms (fractional coordinates):
Cs: 0.000 0.000 0.000
Cs: 0.000 0.500 0.500
Cs: 0.500 0.000 0.500
Cs: 0.500 0.500 0.000
K: 0.000 0.000 0.500
K: 0.000 0.500 0.000
K: 0.500 0.000 0.000
Na: 0.500 0.500 0.500
I: 0.242 0.242 0.242
I: 0.250 0.734 0.734
I: 0.266 0.266 0.750
I: 0.266 0.750 0.266
I: 0.734 0.250 0.734
I: 0.734 0.734 0.250
I: 0.750 0.266 0.266
I: 0.758 0.758 0.758

## Properties
Crystal system   trigonal
Theoretical density   3.419 g/cm³
Formation energy without anion corrections   -1.471 eV/atom

=====

3.
An optimized crystal structure of Cs2KNa3I6, computed with PBE.

a b c (Å): 11.265 11.265 10.134
angles (deg): 104.42 104.42 25.32
Atoms (fractional coordinates):
Cs: 0.167 0.167 0.332
Cs: 0.833 0.833 0.668
K: 0.500 0.500 0.000
Na: 0.164 0.164 0.837
Na: 0.500 0.500 0.500
Na: 0.836 0.836 0.163
I: 0.009 0.009 0.743
I: 0.329 0.329 0.947
I: 0.346 0.346 0.390
I: 0.654 0.654 0.610
I: 0.671 0.671 0.053
I: 0.991 0.991 0.257

## Properties
Crystal system   monoclinic
Theoretical density   3.545 g/cm³
Formation energy without anion corrections   -1.360 eV/atom

=====

4.
An optimized crystal structure of CsKNa2I4, computed with PBE.

a b c (Å): 8.547 4.915 8.727
angles (deg): 90.00 109.10 90.00
Atoms (fractional coordinates):
Cs: 0.000 0.000 0.000
K: 0.500 0.500 0.000
Na: 0.000 0.500 0.500
Na: 0.500 0.000 0.500
I: 0.250 0.000 0.719
I: 0.275 0.500 0.290
I: 0.725 0.500 0.710
I: 0.750 0.000 0.281

## Properties
Crystal system   monoclinic
Theoretical density   3.478 g/cm³
Formation energy without anion corrections   -1.356 eV/atom

=====

5.
An optimized crystal structure of Cs2KNaI, computed with PBE.

a b c (Å): 7.548 7.548 6.877
angles (deg): 90.00 90.00 90.00
Atoms (fractional coordinates):
Cs: 0.000 0.500 0.000
Cs: 0.500 0.000 0.000
K: 0.000 0.000 0.500
Na: 0.500 0.500 0.500
I: 0.000 0.000 0.000

## Properties
Crystal system   tetragonal
Theoretical density   1.927 g/cm³
Formation energy without anion corrections   -0.519 eV/atom

=====

6.
An optimized crystal structure of CsKNbI6, computed with PBE.

a b c (Å): 8.663 8.663 14.963
angles (deg): 90.00 90.00 120.00
Atoms (fractional coordinates):
Cs: 0.000 0.000 0.000
Cs: 0.000 0.000 0.500
K: 0.333 0.667 0.250
K: 0.667 0.333 0.750
Nb: 0.333 0.667 0.750
Nb: 0.667 0.333 0.250
I: 0.063 0.407 0.640
I: 0.063 0.655 0.860
I: 0.345 0.407 0.860
I: 0.345 0.937 0.640
I: 0.407 0.063 0.140
I: 0.407 0.345 0.360
I: 0.593 0.655 0.640
I: 0.593 0.937 0.860
I: 0.655 0.063 0.360
I: 0.655 0.593 0.140
I: 0.937 0.345 0.140
I: 0.937 0.593 0.360

## Properties
Crystal system   trigonal
Theoretical density   3.505 g/cm³
Formation energy without anion corrections   -0.883 eV/atom